w.
A plane-wave DFT calculation with PBE was carried out for a relaxed structure of CrCuIN2.

Cell lengths 3.6857, 3.6857, 5.7744 Å; angles 90.00, 90.00, 90.00 degrees
Fractional coordinates of all 5 atoms:
I (0.0000, 0.0000, 0.5000)
Cr (0.0000, 0.0000, 0.0000)
Cu (0.5000, 0.5000, 0.5000)
N (0.5000, 0.0000, 0.0000)
N (0.0000, 0.5000, 0.0000)

Symmetry: P4/mmm


x.
A plane-wave DFT calculation with PBE was carried out for a relaxed structure of CrCuIN2.

Cell lengths 3.7665, 3.7665, 6.1082 Å; angles 90.00, 90.00, 90.00 degrees
Site moments in Bohr magnetons follow the coordinates.
Fractional coordinates of all 5 atoms:
Cr (0.5000, 0.5000, 0.5000)  -0.26
N (0.0000, 0.5000, 0.0000)  0.88
N (0.5000, 0.0000, 0.0000)  0.88
I (0.0000, 0.0000, 0.5000)  0.05
Cu (0.0000, 0.0000, 0.0000)  0.26

Symmetry: P4/mmm


Stability, descending: w, x


w.
A plane-wave DFT calculation with PBE was carried out for a relaxed structure of CrCuI2N.

Cell lengths 5.6130, 5.6130, 3.7004 Å; angles 90.00, 90.00, 90.00 degrees
Site moments in Bohr magnetons follow the coordinates.
Fractional coordinates of all 5 atoms:
I (0.5000, 0.0000, 0.0000)  0.04
I (0.0000, 0.5000, 0.0000)  0.04
Cr (0.5000, 0.5000, 0.5000)  4.15
Cu (0.0000, 0.0000, 0.0000)  0.26
N (0.0000, 0.0000, 0.5000)  1.01

Symmetry: P4/mmm


x.
A plane-wave DFT calculation with PBE was carried out for a relaxed structure of CrCuI2N.

Cell lengths 5.5413, 5.5413, 3.6139 Å; angles 90.00, 90.00, 90.00 degrees
Site moments in Bohr magnetons follow the coordinates.
Fractional coordinates of all 5 atoms:
Cr (0.0000, 0.0000, 0.0000)  2.33
Cu (0.5000, 0.5000, 0.5000)  0.00
N (0.0000, 0.0000, 0.5000)  -0.41
I (0.5000, 0.0000, 0.0000)  -0.05
I (0.0000, 0.5000, 0.0000)  -0.05

Symmetry: P4/mmm


Stability, descending: x, w


w.
A plane-wave DFT calculation with PBE was carried out for a relaxed structure of CrCuIr.

Cell lengths 4.5336, 4.5336, 4.5336 Å; angles 145.41, 132.79, 59.83 degrees
Site moments in Bohr magnetons follow the coordinates.
Fractional coordinates of all 3 atoms:
Ir (0.6618, 0.6618, 0.0000)  -0.11
Cu (0.3344, 0.3344, 0.0000)  0.01
Cr (0.0038, 0.0038, 0.0000)  0.69

Symmetry: Imm2


x.
A plane-wave DFT calculation with PBE was carried out for a relaxed structure of CrCuIr.

Cell lengths 4.0008, 4.0008, 4.0008 Å; angles 60.00, 60.00, 60.00 degrees
Site moments in Bohr magnetons follow the coordinates.
Fractional coordinates of all 3 atoms:
Cr (0.7500, 0.7500, 0.7500)  1.73
Ir (0.5000, 0.5000, 0.5000)  -0.21
Cu (0.0000, 0.0000, 0.0000)  0.13

Symmetry: F-43m


Stability, descending: w, x